[1]
Density functional theory data (PBE-GGA) for an optimized crystal structure of Mn2TcHg.

Output
- Formation energy: 0.470 eV/atom
- Magnetization: 5.4 μB per formula unit

Lattice parameters (Å, degrees): 3.956 3.956 7.901 90.00 90.00 90.00
Space group I-4m2 (No. 119)
One atom of each set of equivalent atoms:
Mn 0.000 0.000 0.000
Mn 0.000 0.500 0.250
Tc 0.000 0.500 0.750
Hg 0.000 0.000 0.500

[2]
Density functional theory data (PBE-GGA) for an optimized crystal structure of Hf6NiRh5.

Output
- Formation energy: -0.794 eV/atom
- Magnetization: 0.0 μB per formula unit

Lattice parameters (Å, degrees): 14.534 6.548 4.594 90.00 108.25 90.00
Space group C2/m (No. 12)
One atom of each set of equivalent atoms:
Hf 0.000 0.243 0.000
Hf 0.164 0.246 0.664
Ni 0.000 0.000 0.500
Rh 0.000 0.500 0.500
Rh 0.163 0.500 0.164
Rh 0.175 0.000 0.175

[3]
Density functional theory data (PBE-GGA) for an optimized crystal structure of AlFe4Ge.

Output
- Energy relative to the lowest polymorph listed for this composition: 0 meV/atom
- Formation energy: -0.131 eV/atom
- Magnetization: 8.7 μB per formula unit

Lattice parameters (Å, degrees): 8.706 4.060 5.181 90.00 126.32 90.00
Space group C2/m (No. 12)
One atom of each set of equivalent atoms:
Al 0.000 0.000 0.000
Fe 0.164 0.500 0.482
Fe 0.169 0.500 0.990
Ge 0.000 0.000 0.500

[4]
Density functional theory data (PBE-GGA) for an optimized crystal structure of YIn4I7.

Output
- Formation energy without anion corrections: -70.3 kJ per mole of atoms
- Magnetization: 0.0 μB per formula unit

Lattice parameters (Å, degrees): 22.536 5.882 8.424 90.00 107.15 90.00
Space group C2/m (No. 12)
One atom of each set of equivalent atoms:
Y 0.000 0.000 0.000
In 0.080 0.500 0.640
In 0.187 0.500 0.270
I 0.000 0.500 0.000
I 0.083 0.000 0.357
I 0.115 0.000 0.883
I 0.224 0.500 0.673

[5]
Density functional theory data (PBE-GGA) for an optimized crystal structure of NbCr3S8.

Output
- Formation energy without anion corrections: -61.5 kJ per mole of atoms
- Magnetization: 7.0 μB per formula unit

Lattice parameters (Å, degrees): 6.9010 6.9010 16.3047 90.00 90.00 120.00
Space group R-3m (No. 166, hexagonal axes)
One atom of each set of equivalent atoms:
Nb 0.0000 0.0000 0.0000
Cr 0.0000 0.5000 0.5000
S 0.0000 0.0000 0.2452
S 0.0021 0.5010 0.2461

[6]
Density functional theory data (PBE-GGA) for an optimized crystal structure of TbDy4In2.

Output
- Energy relative to the lowest polymorph listed for this composition: 0 meV/atom
- Formation energy: -0.127 eV/atom
- Magnetization: 0.0 μB per formula unit

Lattice parameters (Å, degrees): 9.040 9.040 5.318 90.00 90.00 90.00
Space group P4_2/mnm (No. 136)
One atom of each set of equivalent atoms:
Tb 0.000 0.000 0.000
Dy 0.080 0.334 0.500
In 0.250 0.250 0.000

[7]
Density functional theory data (PBE-GGA) for an optimized crystal structure of NbW2.

Output
- Formation energy: -0.070 eV/atom
- Magnetization: 0.0 μB per formula unit

Lattice parameters (Å, degrees): 3.218 3.218 9.691 90.00 90.00 90.00
Space group I4/mmm (No. 139)
One atom of each set of equivalent atoms:
Nb 0.000 0.000 0.000
W 0.000 0.000 0.330

[8]
Density functional theory data (PBE-GGA) for an optimized crystal structure of MgHPd3.

Output
- Energy relative to the lowest polymorph listed for this composition: 206 meV/atom
- Magnetization: 0.0 μB per formula unit

Lattice parameters (Å, degrees): 4.9437 4.9437 19.9606 90.00 90.00 120.00
Space group R-3 (No. 148, hexagonal axes)
One atom of each set of equivalent atoms:
Mg 0.0000 0.0000 0.1664
H 0.0000 0.0000 0.4286
Pd 0.9999 0.3353 0.6070

[9]
Density functional theory data (PBE-GGA) for an optimized crystal structure of Nd4CoHg.

Output
- Energy relative to the lowest polymorph listed for this composition: 66 meV/atom
- Formation energy: -0.165 eV/atom
- Magnetization: 0.0 μB per formula unit

Lattice parameters (Å, degrees): 8.857 14.046 6.144 90.00 115.55 90.00
Space group C2/c (No. 15)
One atom of each set of equivalent atoms:
Nd 0.116 0.184 0.079
Nd 0.233 0.433 0.341
Co 0.000 0.004 0.250
Hg 0.000 0.378 0.750

[10]
Density functional theory data (PBE-GGA) for an optimized crystal structure of GaCu2H.

Output
- Energy relative to the lowest polymorph listed for this composition: 127 meV/atom
- Magnetization: 0.0 μB per formula unit

Lattice parameters (Å, degrees): 2.7189 2.7189 21.8040 90.00 90.00 120.00
Space group R-3m (No. 166, hexagonal axes)
One atom of each set of equivalent atoms:
Ga 0.0000 0.0000 0.0000
Cu 0.0000 0.0000 0.1154
H 0.0000 0.0000 0.5000

[11]
Density functional theory data (PBE-GGA) for an optimized crystal structure of Sr6PtN2.

Output
- Formation energy without anion corrections: -46.4 kJ per mole of atoms
- Magnetization: 0.0 μB per formula unit

Lattice parameters (Å, degrees): 14.327 4.682 9.667 90.00 100.68 90.00
Space group C2/m (No. 12)
One atom of each set of equivalent atoms:
Sr 0.103 0.000 0.240
Sr 0.135 0.500 0.604
Sr 0.191 0.000 0.891
Pt 0.000 0.000 0.500
N 0.248 0.500 0.838

[12]
Density functional theory data (PBE-GGA) for an optimized crystal structure of Fe2Ag2Br7.

Output
- Energy relative to the lowest polymorph listed for this composition: 0 meV/atom
- Formation energy without anion corrections: -37.8 kJ per mole of atoms
- Magnetization: 9.0 μB per formula unit

Lattice parameters (Å, degrees): 6.810 13.276 8.452 90.00 99.97 90.00
Space group P2_1/c (No. 14)
One atom of each set of equivalent atoms:
Fe 0.167 0.103 0.325
Ag 0.340 0.697 0.674
Br 0.000 0.000 0.500
Br 0.074 0.712 0.328
Br 0.321 0.004 0.148
Br 0.413 0.205 0.491

[13]
Density functional theory data (PBE-GGA) for an optimized crystal structure of ThMgHgBi.

Output
- Energy relative to the lowest polymorph listed for this composition: 121 meV/atom
- Formation energy: -0.201 eV/atom
- Magnetization: 0.0 μB per formula unit

Lattice parameters (Å, degrees): 7.599 7.599 7.599 90.00 90.00 90.00
Space group F-43m (No. 216)
One atom of each set of equivalent atoms:
Th 0.000 0.000 0.000
Mg 0.000 0.000 0.500
Hg 0.250 0.250 0.250
Bi 0.250 0.250 0.750

[14]
Density functional theory data (PBE-GGA) for an optimized crystal structure of ScNbB2.

Output
- Energy relative to the lowest polymorph listed for this composition: 345 meV/atom
- Formation energy: -0.265 eV/atom
- Magnetization: 0.0 μB per formula unit

Lattice parameters (Å, degrees): 3.3363 3.3363 16.7777 90.00 90.00 120.00
Space group R-3m (No. 166, hexagonal axes)
One atom of each set of equivalent atoms:
Sc 0.0000 0.0000 0.0000
Nb 0.0000 0.0000 0.5000
B 0.0000 0.0000 0.2417

[15]
Density functional theory data (PBE-GGA) for an optimized crystal structure of SrBe2Cu.

Output
- Energy relative to the lowest polymorph listed for this composition: 350 meV/atom
- Formation energy: 0.391 eV/atom
- Magnetization: 0.0 μB per formula unit

Lattice parameters (Å, degrees): 3.016 3.016 7.000 90.00 90.00 90.00
Space group P4/mmm (No. 123)
One atom of each set of equivalent atoms:
Sr 0.000 0.000 0.000
Be 0.500 0.500 0.341
Cu 0.000 0.000 0.500

[16]
Density functional theory data (PBE-GGA) for an optimized crystal structure of Ce2TlH.

Output
- Energy relative to the lowest polymorph listed for this composition: 112 meV/atom
- Magnetization: 1.2 μB per formula unit

Lattice parameters (Å, degrees): 5.810 3.355 9.063 90.00 102.40 90.00
Space group Cm (No. 8)
One atom of each set of equivalent atoms:
Ce 0.000 0.000 0.000
Ce 0.214 0.000 0.644
Tl 0.274 0.500 0.323
H 0.107 0.500 0.822

[17]
Density functional theory data (PBE-GGA) for an optimized crystal structure of Sr2CdPd3.

Output
- Energy relative to the lowest polymorph listed for this composition: 241 meV/atom
- Formation energy: -0.342 eV/atom
- Magnetization: 0.0 μB per formula unit

Lattice parameters (Å, degrees): 4.848 5.769 10.872 90.00 90.00 90.00
Space group Immm (No. 71)
One atom of each set of equivalent atoms:
Sr 0.000 0.000 0.181
Cd 0.000 0.000 0.500
Pd 0.000 0.500 0.124
Pd 0.000 0.500 0.500

[18]
Density functional theory data (PBE-GGA) for an optimized crystal structure of Ti3Mo2Ir.

Output
- Formation energy: -0.434 eV/atom
- Magnetization: 0.0 μB per formula unit

Lattice parameters (Å, degrees): 4.481 13.327 3.106 90.00 90.00 90.00
Space group Cmmm (No. 65)
One atom of each set of equivalent atoms:
Ti 0.000 0.000 0.000
Ti 0.000 0.334 0.000
Mo 0.000 0.166 0.500
Ir 0.000 0.500 0.500

[19]
Density functional theory data (PBE-GGA) for an optimized crystal structure of CoSiW2.

Output
- Formation energy without anion corrections: 2.7 kJ per mole of atoms
- Magnetization: 0.0 μB per formula unit

Lattice parameters (Å, degrees): 3.278 4.054 4.166 90.00 90.00 90.00
Space group Pmmm (No. 47)
One atom of each set of equivalent atoms:
Co 0.000 0.000 0.000
Si 0.500 0.000 0.500
W 0.000 0.500 0.500
W 0.500 0.500 0.000

[20]
Density functional theory data (PBE-GGA) for an optimized crystal structure of TbSm2Al.

Output
- Energy relative to the lowest polymorph listed for this composition: 142 meV/atom
- Formation energy: -0.047 eV/atom
- Magnetization: 0.0 μB per formula unit

Lattice parameters (Å, degrees): 7.667 7.667 7.667 90.00 90.00 90.00
Space group Fm-3m (No. 225)
One atom of each set of equivalent atoms:
Tb 0.000 0.000 0.000
Sm 0.250 0.250 0.250
Al 0.000 0.000 0.500

The evaluated VASP energy for the records listed, in turn: -0.24921, -0.34233, -0.26334, -0.11335, -0.24379, -0.15436, -0.44327, -0.16040, -0.16823, -0.12524, -0.15154, -0.12912, -0.12863, -0.28312, -0.10719, -0.16903, -0.13419, -0.34798, -0.35210, -0.16538 Ha/atom.